## SnAs2Ru (PBE)

Data for a relaxed SnAs2Ru crystal.

a b c (Å): 7.098 7.098 7.098
angles (deg): 130.18 130.18 73.11
Sites, in units of the cell vectors:
Sn (0.000, 0.000, 0.000)
Sn (0.750, 0.250, 0.500)
As (0.180, 0.625, 0.055)
As (0.375, 0.430, 0.555)
As (0.570, 0.125, 0.945)
As (0.875, 0.820, 0.445)
Ru (0.250, 0.750, 0.500)
Ru (0.500, 0.500, 0.000)

Properties
E_tot = -44.49 eV/cell
SG = I-42d (122)


## Dy5Sn2Ge2 (PBE)

Data for a relaxed Dy5Sn2Ge2 crystal.

a b c (Å): 8.591 8.591 7.901
angles (deg): 90.00 90.00 54.96
Sites, in units of the cell vectors:
Dy (0.000, 0.000, 0.000)
Dy (0.041, 0.701, 0.669)
Dy (0.201, 0.541, 0.169)
Dy (0.299, 0.959, 0.669)
Dy (0.459, 0.799, 0.169)
Dy (0.500, 0.500, 0.500)
Dy (0.541, 0.201, 0.831)
Dy (0.701, 0.041, 0.331)
Dy (0.799, 0.459, 0.831)
Dy (0.959, 0.299, 0.331)
Sn (0.210, 0.210, 0.000)
Sn (0.290, 0.290, 0.500)
Sn (0.710, 0.710, 0.500)
Sn (0.790, 0.790, 0.000)
Ge (0.134, 0.866, 0.365)
Ge (0.366, 0.634, 0.865)
Ge (0.634, 0.366, 0.135)
Ge (0.866, 0.134, 0.635)

Properties
E_tot = -94.72 eV/cell
SG = Cmce (64)


## InSb2IrI (PBE)

Data for a relaxed InSb2IrI crystal.

a b c (Å): 5.556 5.556 5.619
angles (deg): 90.00 90.00 90.00
Sites, in units of the cell vectors:
In (0.000, 0.000, 0.000)
Sb (0.000, 0.500, 0.000)
Sb (0.500, 0.000, 0.000)
Ir (0.500, 0.500, 0.500)
I (0.000, 0.000, 0.500)

Properties
raw formation energy = 1.559 eV per atom
E_tot = -13.60 eV/cell
SG = P4/mmm (123)


## CsCd4In6 (PBE)

Data for a relaxed CsCd4In6 crystal.

a b c (Å): 8.607 8.607 4.967
angles (deg): 90.00 90.00 120.00
Sites, in units of the cell vectors:
Cs (0.000, 0.000, 0.000)
Cd (0.333, 0.667, 0.000)
Cd (0.417, 0.209, 0.500)
Cd (0.791, 0.209, 0.500)
Cd (0.791, 0.583, 0.500)
In (0.203, 0.406, 0.500)
In (0.203, 0.797, 0.500)
In (0.535, 0.070, 0.000)
In (0.535, 0.465, 0.000)
In (0.594, 0.797, 0.500)
In (0.930, 0.465, 0.000)

Properties
E_tot = -21.41 eV/cell
SG = P-6m2 (187)